A plane-wave DFT calculation with PBE-GGA was carried out for LiTeBr3 after structural relaxation.

Computed properties:
Fermi-level density of states	1.11	states/eV per cell
energy relative to the lowest polymorph listed for this composition	1.46	eV per formula unit
formation energy (no corrections)	-0.413	eV per atom

Unit cell a=5.7852 b=5.7852 c=5.7852 alpha=90.00 beta=90.00 gamma=90.00
Positions (direct):
Li: 0.0000 0.0000 0.0000
Te: 0.5000 0.5000 0.5000
Br: 0.0000 0.5000 0.5000
Br: 0.5000 0.0000 0.5000
Br: 0.5000 0.5000 0.0000

***

A plane-wave DFT calculation with PBE-GGA was carried out for Ag2PtBr5 after structural relaxation.

Computed properties:
Fermi-level density of states	2.27	states/eV per cell
formation energy (no corrections)	-0.282	eV per atom

Unit cell a=7.2697 b=7.2697 c=12.8747 alpha=90.00 beta=90.00 gamma=135.26
Positions (direct):
Ag: 0.1545 0.8455 0.5756
Ag: 0.1545 0.8455 0.9244
Ag: 0.8455 0.1545 0.0756
Ag: 0.8455 0.1545 0.4244
Pt: 0.1998 0.8002 0.2500
Pt: 0.8002 0.1998 0.7500
Br: 0.0666 0.9334 0.1158
Br: 0.0666 0.9334 0.3842
Br: 0.2892 0.7108 0.7500
Br: 0.3288 0.6712 0.1110
Br: 0.3288 0.6712 0.3890
Br: 0.6712 0.3288 0.6110
Br: 0.6712 0.3288 0.8890
Br: 0.7108 0.2892 0.2500
Br: 0.9334 0.0666 0.6158
Br: 0.9334 0.0666 0.8842

***

A plane-wave DFT calculation with PBE-GGA was carried out for BaBeCr4 after structural relaxation.

Computed properties:
Fermi-level density of states	8.80	states/eV per cell
VASP energy	-6.21	eV per atom

Unit cell a=5.0578 b=5.0578 c=5.0578 alpha=60.00 beta=60.00 gamma=60.00
Positions (direct):
Ba: 0.0000 0.0000 0.0000
Be: 0.7500 0.7500 0.7500
Cr: 0.3771 0.3771 0.3771
Cr: 0.3771 0.3771 0.8687
Cr: 0.3771 0.8687 0.3771
Cr: 0.8687 0.3771 0.3771

***

A plane-wave DFT calculation with PBE-GGA was carried out for CePr2Er5 after structural relaxation.

Computed properties:
Fermi-level density of states	13.11	states/eV per cell
VASP energy	-4.74	eV per atom

Unit cell a=10.5867 b=10.5867 c=10.5867 alpha=152.32 beta=152.32 gamma=39.54
Positions (direct):
Ce: 0.0000 0.0000 0.0000
Pr: 0.2479 0.2479 0.0000
Pr: 0.7521 0.7521 0.0000
Er: 0.1211 0.6211 0.5000
Er: 0.3789 0.8789 0.5000
Er: 0.5000 0.5000 0.0000
Er: 0.6211 0.1211 0.5000
Er: 0.8789 0.3789 0.5000